(1)
{
  "formula": "LiZr2Sc3N6",
  "functional": "PBE",
  "state": "optimized geometry",
  "cell": [[-2.378, 0.168, 2.170], [-3.500, -4.119, -3.519], [4.789, -4.214, 3.180]],
  "species": ["N", "Sc", "N", "N", "Sc", "N", "Sc", "N", "N", "Zr", "Li", "Zr"],
  "fractional_positions": [[0.666, 0.581, 0.333], [0.160, 0.834, 0.320], [0.334, 0.419, 0.667], [0.998, 0.733, 0.997], [0.840, 0.166, 0.680], [0.002, 0.267, 0.003], [0.500, 0.500, 0.000], [0.329, 0.911, 0.658], [0.671, 0.089, 0.342], [0.842, 0.680, 0.684], [0.500, 0.000, 0.000], [0.158, 0.320, 0.316]],
  "final_energy_ev_per_atom": -8.96,
  "dos_ef_per_ev_fu": 2.15,
  "sg": "C2/m (12)",
  "density_g_cm3": 4.8
}


(2)
{
  "formula": "Hf3TaFe4",
  "functional": "PBE",
  "state": "optimized geometry",
  "cell": [[3.108, 0.000, 0.000], [0.000, 3.108, 0.000], [0.000, 0.000, 12.541]],
  "species": ["Hf", "Fe", "Fe", "Hf", "Hf", "Fe", "Fe", "Ta"],
  "fractional_positions": [[0.500, 0.500, 0.752], [0.000, 0.000, 0.117], [0.000, 0.000, 0.373], [0.500, 0.500, 0.248], [0.500, 0.500, 0.500], [0.000, 0.000, 0.883], [0.000, 0.000, 0.627], [0.500, 0.500, 0.000]],
  "formation_enthalpy_0k_ev_per_atom": -0.280,
  "dos_ef_per_ev_fu": 3.94,
  "sg": "P4/mmm (123)",
  "density_g_cm3": 12.9
}


(3)
{
  "formula": "CdIn2Te",
  "functional": "PBE",
  "state": "optimized geometry",
  "cell": [[4.150, 0.000, 0.000], [2.075, 3.594, 0.000], [2.075, 1.198, 8.077]],
  "species": ["Cd", "In", "Te", "In"],
  "fractional_positions": [[0.499, 0.499, 0.503], [0.082, 0.082, 0.754], [0.668, 0.668, 0.997], [0.251, 0.251, 0.246]],
  "polymorph_energy_ev_per_fu": 0.15,
  "dos_ef_per_ev_fu": 1.26,
  "sg": "R3m (160)",
  "density_g_cm3": 6.5
}


(4)
{
  "formula": "HfCoGeIr",
  "functional": "PBE",
  "state": "optimized geometry",
  "cell": [[4.414, 0.000, 0.000], [2.207, 3.823, 0.000], [2.207, 1.274, 3.604]],
  "species": ["Hf", "Ir", "Co", "Ge"],
  "fractional_positions": [[0.250, 0.250, 0.250], [0.500, 0.500, 0.500], [0.000, 0.000, 0.000], [0.750, 0.750, 0.750]],
  "formation_enthalpy_0k_ev_per_atom": -0.486,
  "dos_ef_per_ev_fu": 1.68,
  "sg": "F-43m (216)",
  "density_g_cm3": 13.7
}


(5)
{
  "formula": "BeAs2Rh",
  "functional": "PBE",
  "state": "optimized geometry",
  "cell": [[-1.432, 2.003, -2.456], [-2.523, -2.480, -0.552], [-3.990, 0.841, 3.010]],
  "species": ["As", "Rh", "Be", "As"],
  "fractional_positions": [[0.500, 0.259, 0.355], [0.500, 0.552, 0.773], [0.000, 0.721, 0.432], [0.000, 0.968, 0.941]],
  "formation_enthalpy_0k_ev_per_atom": -0.146,
  "dos_ef_per_ev_fu": 1.38,
  "sg": "Pm (6)",
  "density_g_cm3": 7.3
}


(6)
{
  "formula": "TbPdRh",
  "functional": "PBE",
  "state": "optimized geometry",
  "cell": [[-1.475, 1.836, -2.584], [-2.822, 0.538, 1.993], [4.050, 2.666, 1.948]],
  "species": ["Pd", "Rh", "Tb"],
  "fractional_positions": [[0.280, 0.280, 0.561], [0.616, 0.616, 0.232], [0.954, 0.954, 0.908]],
  "formation_enthalpy_0k_ev_per_atom": -0.543,
  "polymorph_energy_ev_per_fu": 0.24,
  "dos_ef_per_ev_fu": 2.48,
  "sg": "I4mm (107)",
  "density_g_cm3": 10.9
}


(7)
{
  "formula": "YAs2N",
  "functional": "PBE",
  "state": "optimized geometry",
  "cell": [[6.436, 0.000, 0.000], [0.000, 6.436, 0.000], [3.218, 3.218, 3.707]],
  "species": ["Y", "N", "Y", "As", "As", "N", "As", "As"],
  "fractional_positions": [[0.000, 0.000, 0.000], [0.250, 0.750, 0.500], [0.750, 0.250, 0.500], [0.228, 0.625, 0.250], [0.522, 0.125, 0.250], [0.500, 0.500, 0.000], [0.875, 0.772, 0.750], [0.375, 0.478, 0.750]],
  "final_energy_ev_per_atom": -5.96,
  "dos_ef_per_ev_fu": 1.87,
  "sg": "I-42d (122)",
  "density_g_cm3": 5.5
}


(8)
{
  "formula": "TaIBr2",
  "functional": "PBE",
  "state": "optimized geometry",
  "cell": [[1.938, 0.000, 12.029], [-0.969, 1.679, 12.029], [-0.969, -1.679, 12.029]],
  "species": ["I", "Ta", "Br", "Br"],
  "fractional_positions": [[0.000, 0.000, 0.000], [0.500, 0.500, 0.500], [0.885, 0.885, 0.885], [0.115, 0.115, 0.115]],
  "polymorph_energy_ev_per_fu": 1.53,
  "dos_ef_per_ev_fu": 2.23,
  "sg": "R-3m (166)",
  "density_g_cm3": 6.6
}